1.
First-principles (PBE) data for a geometry-optimized Pm2HoEr3Tm6 structure, as listed in the Alexandria database.

```
Pm2HoEr3Tm6
1.0
6.100 0.002 0.004
-3.046 5.284 0.004
-1.023 -1.772 11.467
Pm Ho Er Tm
2 1 3 6
direct
0.333 0.667 0.000
0.667 0.333 0.000
0.000 0.000 0.000
0.166 0.834 0.500
0.834 0.166 0.500
0.500 0.500 0.500
0.915 0.582 0.747
0.752 0.752 0.253
0.085 0.418 0.253
0.582 0.915 0.747
0.248 0.248 0.747
0.418 0.085 0.253
```

---

2.
First-principles (PBE) data for a geometry-optimized Pm5HoErTm2 structure, as listed in the Alexandria database.

```
Pm5HoErTm2
1.0
-2.341 0.548 -5.062
-7.609 -3.655 6.225
-2.837 9.983 2.393
Pm Ho Er Tm
10 2 2 4
direct
0.385 0.770 0.021
0.720 0.441 0.813
0.483 0.966 0.743
0.299 0.598 0.708
0.984 0.968 0.518
0.615 0.230 0.521
0.280 0.559 0.313
0.517 0.034 0.243
0.701 0.402 0.208
0.016 0.032 0.018
0.802 0.603 0.512
0.198 0.397 0.012
0.591 0.182 0.962
0.409 0.818 0.462
0.886 0.773 0.809
0.112 0.224 0.740
0.114 0.227 0.309
0.888 0.776 0.240
```

---

3.
First-principles (PBE) data for a geometry-optimized PmHoEr6Tm2 structure, as listed in the Alexandria database.

```
PmHoEr6Tm2
1.0
-4.173 6.663 -5.159
6.347 -1.249 -5.816
-6.881 -5.309 -0.358
Pm Ho Er Tm
2 2 12 4
direct
0.250 0.973 0.027
0.750 0.027 0.973
0.250 0.410 0.590
0.750 0.590 0.410
0.057 0.123 0.752
0.443 0.248 0.877
0.943 0.877 0.248
0.557 0.752 0.123
0.318 0.982 0.435
0.182 0.565 0.018
0.682 0.018 0.565
0.818 0.435 0.982
0.117 0.709 0.490
0.383 0.510 0.291
0.883 0.291 0.510
0.617 0.490 0.709
0.453 0.801 0.695
0.047 0.305 0.199
0.547 0.199 0.305
0.953 0.695 0.801
```

---

4.
First-principles (PBE) data for a geometry-optimized Pm2HoErTm2 structure, as listed in the Alexandria database.

```
Pm2HoErTm2
1.0
-5.022 -2.449 0.478
0.673 -2.639 -6.443
4.199 -7.895 3.671
Pm Ho Er Tm
4 2 2 4
direct
0.000 0.258 0.822
0.500 0.258 0.347
0.000 0.758 0.178
0.500 0.758 0.653
0.500 0.257 0.681
0.500 0.757 0.319
0.000 0.007 0.500
0.000 0.507 0.500
0.500 0.008 0.000
0.000 0.258 0.157
0.500 0.508 0.000
0.000 0.758 0.843
```

---

5.
First-principles (PBE) data for a geometry-optimized PmHoEr2Tm structure, as listed in the Alexandria database.

```
PmHoEr2Tm
1.0
-3.604 -3.709 4.967
3.656 -7.019 -2.589
2.405 4.350 4.993
Pm Ho Er Tm
2 2 4 2
direct
0.250 0.728 0.456
0.750 0.272 0.544
0.250 0.001 0.002
0.750 0.999 0.998
0.500 0.310 0.000
0.000 0.690 0.000
0.500 0.690 0.000
0.000 0.310 0.000
0.750 0.720 0.440
0.250 0.280 0.560
```

---

6.
First-principles (PBE) data for a geometry-optimized PmHoErTm structure, as listed in the Alexandria database.

```
PmHoErTm
1.0
-4.376 2.006 2.954
-5.224 -1.856 -1.079
-2.646 -3.314 3.730
Tm Pm Ho Er
1 1 1 1
direct
0.250 0.250 0.250
0.500 0.500 0.500
0.000 0.000 0.000
0.750 0.750 0.750
```

---

7.
First-principles (PBE) data for a geometry-optimized PmY2HoEr6 structure, as listed in the Alexandria database.

```
PmY2HoEr6
1.0
-4.743 -2.763 7.632
-3.882 -5.925 -5.145
7.754 -2.139 3.456
Pm Y Ho Er
2 4 2 12
direct
0.250 0.971 0.029
0.750 0.029 0.971
0.452 0.800 0.696
0.048 0.304 0.200
0.548 0.200 0.304
0.952 0.696 0.800
0.250 0.410 0.590
0.750 0.590 0.410
0.058 0.124 0.754
0.442 0.246 0.876
0.942 0.876 0.246
0.558 0.754 0.124
0.316 0.984 0.435
0.184 0.565 0.016
0.684 0.016 0.565
0.816 0.435 0.984
0.116 0.709 0.486
0.384 0.514 0.291
0.884 0.291 0.514
0.616 0.486 0.709
```

---

8.
First-principles (PBE) data for a geometry-optimized PmY2Ho2Er2 structure, as listed in the Alexandria database.

```
PmY2Ho2Er2
1.0
5.022 0.000 0.000
-2.511 5.602 0.278
0.000 -1.517 7.796
Pm Y Ho Er
1 2 2 2
direct
0.000 0.000 0.000
0.143 0.286 0.429
0.857 0.714 0.571
0.571 0.142 0.715
0.429 0.858 0.285
0.715 0.429 0.142
0.285 0.571 0.858
```

---

9.
First-principles (PBE) data for a geometry-optimized Pm2Y2HoEr4 structure, as listed in the Alexandria database.

```
Pm2Y2HoEr4
1.0
3.585 0.000 0.000
-1.793 9.294 -0.503
0.000 -3.670 8.795
Pm Y Ho Er
2 2 1 4
direct
0.334 0.669 0.999
0.666 0.331 0.001
0.853 0.706 0.337
0.147 0.294 0.663
0.000 0.000 0.000
0.815 0.630 0.664
0.185 0.370 0.336
0.519 0.038 0.334
0.481 0.962 0.666
```

---

10.
First-principles (PBE) data for a geometry-optimized Pm3Y2Ho6Er structure, as listed in the Alexandria database.

```
Pm3Y2Ho6Er
1.0
6.173 0.001 0.002
-3.084 5.347 0.002
-1.028 -1.780 11.609
Pm Y Ho Er
3 2 6 1
direct
0.167 0.833 0.500
0.833 0.167 0.500
0.500 0.500 0.500
0.333 0.667 0.000
0.667 0.333 0.000
0.917 0.585 0.752
0.750 0.750 0.248
0.083 0.415 0.248
0.585 0.917 0.752
0.250 0.250 0.752
0.415 0.083 0.248
0.000 0.000 0.000
```

---

11.
First-principles (PBE) data for a geometry-optimized Pm2Y2Ho2Er structure, as listed in the Alexandria database.

```
Pm2Y2Ho2Er
1.0
5.693 0.000 0.000
2.847 4.931 0.000
2.847 1.644 8.158
Pm Y Ho Er
2 2 2 1
direct
0.139 0.139 0.584
0.861 0.861 0.416
0.715 0.715 0.855
0.285 0.285 0.145
0.573 0.573 0.280
0.427 0.427 0.720
0.000 0.000 0.000
```

---

12.
First-principles (PBE) data for a geometry-optimized Pm6YHo2Er structure, as listed in the Alexandria database.

```
Pm6YHo2Er
1.0
9.179 -2.002 -2.078
0.809 8.648 -2.053
0.809 -2.372 8.566
Pm Y Ho Er
12 2 4 2
direct
0.054 0.121 0.760
0.446 0.240 0.879
0.946 0.879 0.240
0.554 0.760 0.121
0.313 0.987 0.435
0.187 0.565 0.013
0.687 0.013 0.565
0.813 0.435 0.987
0.119 0.710 0.494
0.381 0.506 0.290
0.881 0.290 0.506
0.619 0.494 0.710
0.250 0.974 0.026
0.750 0.026 0.974
0.455 0.800 0.697
0.045 0.303 0.200
0.545 0.200 0.303
0.955 0.697 0.800
0.250 0.411 0.589
0.750 0.589 0.411
```

---

| no. | Fermi-level density of states (states/eV/cell) | DFT total energy (eV per atom) | total magnetic moment (μB/atom) |
| --- | --- | --- | --- |
| 1 | 16.49 | -4.526 | 0.0000 |
| 2 | 28.87 | -4.501 | 0.0000 |
| 3 | 29.73 | -4.442 | 0.0000 |
| 4 | 20.68 | -4.533 | 0.0000 |
| 5 | 13.48 | -4.193 | 0.0000 |
| 6 | 7.42 | -4.466 | 0.0000 |
| 7 | 30.07 | -4.837 | 0.0000 |
| 8 | 9.82 | -5.115 | 0.0000 |
| 9 | 12.32 | -5.032 | 0.0011 |
| 10 | 16.42 | -4.914 | 0.0000 |
| 11 | 18.34 | -5.025 | 0.0379 |
| 12 | 27.80 | -4.754 | 0.0000 |